Material: Cs3CeU2O9
Method: DFT, GGA-PBE
State: optimized geometry

Cell and atoms, written as POSCAR:
```
Cs3CeU2O9
1.0
-4.1081 0.9041 -4.6674
-1.2947 -4.1103 4.5725
-3.3873 5.5877 4.0637
Cs Ce U O
3 1 2 9
direct
0.3333 0.6667 0.6640
0.0000 0.0000 0.0000
0.6667 0.3333 0.3360
0.0000 0.0000 0.5000
0.3333 0.6667 0.1640
0.6667 0.3333 0.8360
0.8237 0.1763 0.6792
0.8237 0.6474 0.6792
0.3526 0.1763 0.6792
0.6474 0.8237 0.3208
0.1763 0.3526 0.3208
0.1763 0.8237 0.3208
0.5000 0.0000 0.0000
0.0000 0.5000 0.0000
0.5000 0.5000 0.0000
```

Output
Volume   17.5 Å³ per atom
Raw formation energy   -64.69 kcal/mol of atoms

=====

Material: TcAg2Cl
Method: DFT, GGA-PBE
State: optimized geometry

Cell and atoms, written as POSCAR:
```
TcAg2Cl
1.0
-4.7857 0.0883 -0.8771
0.0590 -3.8556 -0.7103
-0.7078 -0.7092 3.7907
Ag Cl Tc
2 1 1
direct
0.0000 0.0000 0.0000
0.0000 0.5000 0.5000
0.5000 0.5000 0.0000
0.5000 0.0000 0.5000
```

Output
Excess energy over the best structure of this formula in the dataset   522 meV per atom
Volume   18.7 Å³ per atom
Raw formation energy   17.51 kcal/mol of atoms

=====

Material: AgHgN2F
Method: DFT, GGA-PBE
State: optimized geometry

Cell and atoms, written as POSCAR:
```
AgHgN2F
1.0
-3.0536 0.1035 2.9038
-1.3839 -3.7558 -1.3214
2.9070 -2.1739 3.1343
N Hg Ag F
2 1 1 1
direct
0.0000 0.5000 0.0000
0.5000 0.0000 0.0000
0.0000 0.0000 0.0000
0.5000 0.5000 0.5000
0.0000 0.0000 0.5000
```

Output
Excess energy over the best structure of this formula in the dataset   122 meV per atom
Volume   17.0 Å³ per atom
Raw formation energy   32.41 kcal/mol of atoms

=====

Material: Ac5La2Sn5
Method: DFT, GGA-PBE
State: optimized geometry

Cell and atoms, written as POSCAR:
```
Ac5La2Sn5
1.0
4.7326 0.0000 0.0000
-2.3663 7.8918 -0.1749
0.0000 -4.0512 13.1078
Ac La Sn
5 2 5
direct
0.5000 0.0000 0.5000
0.6598 0.3196 0.0443
0.7359 0.4718 0.3516
0.2641 0.5282 0.6484
0.3402 0.6804 0.9557
0.0484 0.0968 0.7884
0.9516 0.9032 0.2116
0.1131 0.2262 0.4189
0.6924 0.3848 0.7961
0.3076 0.6152 0.2039
0.8869 0.7738 0.5811
0.0000 0.0000 0.0000
```

Output
VASP energy   -4.75 eV per atom
Volume   40.5 Å³ per atom